Density functional theory data (PBE) for SmHoZnNi after structural relaxation.

Results
E above lowest polymorph   0.000 eV per atom
M_tot   0.0 μB per cell
Calculated formation energy   -0.3326 eV per atom
E   -17.683 eV per cell

Lattice parameters (Å, degrees): 4.4236 5.5951 5.5951 40.08 90.00 90.00
Closest atoms and distances in Å follow each position.
Fractional coordinates of all 4 atoms:
1 Sm 0.0000 0.0000 0.0000  3 Ni 2.91-3.06, 4 Zn 3.03
2 Ho 0.5000 0.2826 0.2826  3 Zn 2.91-3.07, 4 Ni 3.03
3 Zn 0.5000 0.5744 0.5744  2 Ni 2.62, 2 Ho 2.91
4 Ni 0.0000 0.7087 0.7087  2 Zn 2.62, 2 Sm 2.91



Density functional theory data (PBE) for Sm2HoZn12Ni3 after structural relaxation.

Results
M_tot   0.0 μB per cell
Calculated formation energy   0.1024 eV per atom
E   -44.804 eV per cell

Lattice parameters (Å, degrees): 8.1807 8.1807 8.1807 56.88 56.88 56.88
Closest atoms and distances in Å follow each position.
Fractional coordinates of all 18 atoms:
1 Sm 0.0929 0.0929 0.0929  6 Zn 2.88-3.02
2 Sm 0.9071 0.9071 0.9071  6 Zn 2.88-3.02
3 Ho 0.5000 0.5000 0.5000  12 Zn 2.95-3.10
4 Zn 0.0172 0.6639 0.6639  1 Ni 2.45
5 Zn 0.2544 0.2544 0.6430  2 Ni 2.29
6 Zn 0.2544 0.6430 0.2544  2 Ni 2.29
7 Zn 0.3361 0.3361 0.9828  1 Ni 2.45
8 Zn 0.3361 0.9828 0.3361  1 Ni 2.45
9 Zn 0.3570 0.7456 0.7456  2 Ni 2.29
10 Zn 0.6430 0.2544 0.2544  2 Ni 2.29
11 Zn 0.6639 0.0172 0.6639  1 Ni 2.45
12 Zn 0.6639 0.6639 0.0172  1 Ni 2.45
13 Zn 0.7456 0.3570 0.7456  2 Ni 2.29
14 Zn 0.7456 0.7456 0.3570  2 Ni 2.29
15 Zn 0.9828 0.3361 0.3361  1 Ni 2.45
16 Ni 0.0000 0.5000 0.5000  6 Zn 2.29-2.45
17 Ni 0.5000 0.0000 0.5000  6 Zn 2.29-2.45
18 Ni 0.5000 0.5000 0.0000  6 Zn 2.29-2.45



Density functional theory data (PBE) for SmHoZnNi after structural relaxation.

Results
E above lowest polymorph   0.017 eV per atom
M_tot   0.0 μB per cell
Calculated formation energy   -0.3155 eV per atom
E   -17.614 eV per cell

Lattice parameters (Å, degrees): 4.9538 4.9538 4.9538 60.00 60.00 60.00
Closest atoms and distances in Å follow each position.
Fractional coordinates of all 4 atoms:
1 Sm 0.0000 0.0000 0.0000  4 Ni 3.03, 4 Zn 3.03
2 Ho 0.5000 0.5000 0.5000  4 Ni 3.03, 4 Zn 3.03
3 Zn 0.2500 0.2500 0.2500  4 Ho 3.03, 4 Sm 3.03
4 Ni 0.7500 0.7500 0.7500  4 Ho 3.03, 4 Sm 3.03



Density functional theory data (PBE) for HoNi3Sn3 after structural relaxation.

Results
M_tot   0.0 μB per cell
Calculated formation energy   0.1428 eV per atom
E   -65.861 eV per cell

Lattice parameters (Å, degrees): 6.8819 6.8819 6.8819 90.00 90.00 90.00
Closest atoms and distances in Å follow each position.
Fractional coordinates of all 14 atoms:
1 Ho 0.0000 0.0000 0.0000  12 Sn 3.85, 12 Ni 3.85
2 Ho 0.5000 0.5000 0.5000  12 Sn 3.85, 12 Ni 3.85
3 Ni 0.0000 0.2500 0.5000  4 Sn 2.43
4 Ni 0.0000 0.7500 0.5000  4 Sn 2.43
5 Ni 0.2500 0.5000 0.0000  4 Sn 2.43
6 Ni 0.5000 0.0000 0.2500  4 Sn 2.43
7 Ni 0.5000 0.0000 0.7500  4 Sn 2.43
8 Ni 0.7500 0.5000 0.0000  4 Sn 2.43
9 Sn 0.0000 0.5000 0.2500  4 Ni 2.43
10 Sn 0.0000 0.5000 0.7500  4 Ni 2.43
11 Sn 0.2500 0.0000 0.5000  4 Ni 2.43
12 Sn 0.5000 0.2500 0.0000  4 Ni 2.43
13 Sn 0.5000 0.7500 0.0000  4 Ni 2.43
14 Sn 0.7500 0.0000 0.5000  4 Ni 2.43